[1]
This record from the Alexandria database describes a relaxed structure of Tc3Ag4. The functional is GGA-PBE.

- N(E_F): 6.034 states/eV per cell
- Density: 10.44 g/cm3
- Total DFT energy (no corrections): -5.694 eV per atom
- Energy relative to the elements: 0.38 eV/atom

a b c (Å): 14.9277 14.9277 14.9277
angles (deg): 169.27 169.27 15.20
Last column: nearest neighbours and their distance in Å.
Sites, in units of the cell vectors:
Ag1 0.4278 0.4278 0.0000  8 Ag 2.79-2.98, 4 Tc 2.91
Tc1 0.2776 0.2776 0.0000  8 Tc 2.56-2.79
Tc2 0.0000 0.0000 0.0000  4 Tc 2.79, 8 Ag 2.91
Ag2 0.1474 0.1474 0.0000  8 Ag 2.79-2.98, 4 Tc 2.97
Tc3 0.7224 0.7224 0.0000  8 Tc 2.56-2.79
Ag3 0.8526 0.8526 0.0000  8 Ag 2.79-2.98, 4 Tc 2.97
Ag4 0.5722 0.5722 0.0000  8 Ag 2.79-2.98, 4 Tc 2.91

[2]
This record from the Alexandria database describes a relaxed structure of TcAg2. The functional is GGA-PBE.

- N(E_F): 8.537 states/eV per cell
- Density: 10.22 g/cm3
- Offset from the most stable computed form: 332 meV/atom
- Total DFT energy (no corrections): -4.659 eV per atom
- Energy relative to the elements: 0.70 eV/atom

a b c (Å): 8.1492 8.1492 2.6581
angles (deg): 90.00 90.00 120.00
Last column: nearest neighbours and their distance in Å.
Sites, in units of the cell vectors:
Ag1 0.6418 0.0000 0.5000  2 Ag 2.66, 5 Tc 2.92-2.94
Tc1 0.6667 0.3333 0.0000  2 Tc 2.66, 9 Ag 2.82-2.94
Ag2 0.3582 0.3582 0.5000  2 Ag 2.66, 5 Tc 2.92-2.94
Ag3 0.6905 0.6905 0.0000  2 Ag 2.66, 4 Tc 2.82-2.85
Tc2 0.3333 0.6667 0.0000  2 Tc 2.66, 9 Ag 2.82-2.94
Tc3 0.0000 0.0000 0.5000  2 Tc 2.66, 9 Ag 2.85-2.92
Ag4 0.3095 0.0000 0.0000  2 Ag 2.66, 4 Tc 2.82-2.85
Ag5 0.0000 0.3095 0.0000  2 Ag 2.66, 4 Tc 2.82-2.85
Ag6 0.0000 0.6418 0.5000  2 Ag 2.66, 5 Tc 2.92-2.94

[3]
This record from the Alexandria database describes a relaxed structure of TcAg4. The functional is GGA-PBE.

- N(E_F): 2.710 states/eV per cell
- Density: 8.87 g/cm3
- Offset from the most stable computed form: 308 meV/atom
- Total DFT energy (no corrections): -3.574 eV per atom
- Energy relative to the elements: 0.78 eV/atom

a b c (Å): 7.4796 7.4796 7.4796
angles (deg): 150.83 150.83 41.72
Last column: nearest neighbours and their distance in Å.
Sites, in units of the cell vectors:
Ag1 0.4041 0.4041 0.0000  5 Ag 2.68-2.86, 4 Tc 2.98
Tc1 0.0000 0.0000 0.0000  8 Ag 2.98
Ag2 0.7500 0.2500 0.5000  8 Ag 2.66-2.86
Ag3 0.5959 0.5959 0.0000  5 Ag 2.68-2.86, 4 Tc 2.98
Ag4 0.2500 0.7500 0.5000  8 Ag 2.66-2.86

What is the formula in the third record? TcAg4

Look up the density of the first one. 10.44 g/cm3

Among the records above, which one has the highest total DFT energy (no corrections)? TcAg4

Copy entry 1 word for word.
This record from the Alexandria database describes a relaxed structure of Tc3Ag4. The functional is GGA-PBE.

- N(E_F): 6.034 states/eV per cell
- Density: 10.44 g/cm3
- Total DFT energy (no corrections): -5.694 eV per atom
- Energy relative to the elements: 0.38 eV/atom

a b c (Å): 14.9277 14.9277 14.9277
angles (deg): 169.27 169.27 15.20
Last column: nearest neighbours and their distance in Å.
Sites, in units of the cell vectors:
Ag1 0.4278 0.4278 0.0000  8 Ag 2.79-2.98, 4 Tc 2.91
Tc1 0.2776 0.2776 0.0000  8 Tc 2.56-2.79
Tc2 0.0000 0.0000 0.0000  4 Tc 2.79, 8 Ag 2.91
Ag2 0.1474 0.1474 0.0000  8 Ag 2.79-2.98, 4 Tc 2.97
Tc3 0.7224 0.7224 0.0000  8 Tc 2.56-2.79
Ag3 0.8526 0.8526 0.0000  8 Ag 2.79-2.98, 4 Tc 2.97
Ag4 0.5722 0.5722 0.0000  8 Ag 2.79-2.98, 4 Tc 2.91